Density functional theory data (PBEsol) for a geometry-optimized TlBr structure.

Computed properties:
Offset from the most stable computed form, meV per atom: 20

Lattice parameters (Å, degrees): 4.1896 6.2679 8.4906 109.80 90.00 109.52
With the nearest neighbours (Å) after each atom.
Fractional coordinates of all 6 atoms:
Tl 0.6710 0.3419 0.3064  3 Br 3.06-3.19
Tl 0.9638 0.9276 0.6064  6 Br 3.16-3.40, 1 Tl 3.48
Tl 0.7968 0.5937 0.9672  7 Br 3.18-3.47
Br 0.0741 0.1483 0.0046  6 Tl 3.16-3.47
Br 0.2513 0.5025 0.6521  7 Tl 3.28-3.45
Br 0.4096 0.8193 0.2968  5 Tl 3.06-3.36


Density functional theory data (PBEsol) for a geometry-optimized TlBr structure.

Computed properties:
Offset from the most stable computed form, meV per atom: 0

Lattice parameters (Å, degrees): 4.3131 4.8637 6.4146 90.00 109.64 90.00
With the nearest neighbours (Å) after each atom.
Fractional coordinates of all 4 atoms:
Tl 0.3917 0.7500 0.7834  5 Br 3.09-3.27
Tl 0.6083 0.2500 0.2166  5 Br 3.09-3.27
Br 0.1362 0.7500 0.2723  5 Tl 3.09-3.27
Br 0.8638 0.2500 0.7277  5 Tl 3.09-3.27


Density functional theory data (PBEsol) for a geometry-optimized TlBr3 structure.

Lattice parameters (Å, degrees): 3.7200 5.3813 5.3813 90.00 90.00 90.00
With the nearest neighbours (Å) after each atom.
Fractional coordinates of all 4 atoms:
Tl 0.0000 0.0000 0.0000  8 Br 3.27
Br 0.5000 0.0000 0.5000  4 Br 3.27, 4 Tl 3.27
Br 0.5000 0.5000 0.0000  4 Br 3.27, 4 Tl 3.27
Br 0.0000 0.5000 0.5000  8 Br 3.27


Density functional theory data (PBEsol) for a geometry-optimized TlBr structure.

Computed properties:
Offset from the most stable computed form, meV per atom: 4

Lattice parameters (Å, degrees): 3.9016 3.9016 3.9016 90.00 90.00 90.00
With the nearest neighbours (Å) after each atom.
Fractional coordinates of all 2 atoms:
Tl 0.0000 0.0000 0.0000  8 Br 3.38
Br 0.5000 0.5000 0.5000  8 Tl 3.38


Density functional theory data (PBEsol) for a geometry-optimized TlBr structure.

Computed properties:
Offset from the most stable computed form, meV per atom: 25

Lattice parameters (Å, degrees): 4.1247 4.3936 4.3936 120.00 90.00 90.00
With the nearest neighbours (Å) after each atom.
Fractional coordinates of all 2 atoms:
Tl 0.5000 0.3333 0.6667  6 Br 3.27
Br 0.0000 0.0000 0.0000  6 Tl 3.27


Density functional theory data (PBEsol) for a geometry-optimized Tl2Br structure.

Lattice parameters (Å, degrees): 4.5778 4.5778 4.8786 90.00 90.00 90.00
With the nearest neighbours (Å) after each atom.
Fractional coordinates of all 3 atoms:
Tl 0.0000 0.5000 0.5000  4 Tl 3.24, 4 Br 3.35
Tl 0.5000 0.0000 0.5000  4 Tl 3.24, 4 Br 3.35
Br 0.0000 0.0000 0.0000  8 Tl 3.35


Density functional theory data (PBEsol) for a geometry-optimized TlWBr3 structure.

Lattice parameters (Å, degrees): 5.5162 5.5162 5.5162 90.00 90.00 90.00
With the nearest neighbours (Å) after each atom.
Fractional coordinates of all 5 atoms:
Tl 0.0000 0.0000 0.0000  6 Br 2.76
Br 0.0000 0.5000 0.0000  2 Tl 2.76
Br 0.0000 0.0000 0.5000  2 Tl 2.76
Br 0.5000 0.0000 0.0000  2 Tl 2.76
W 0.5000 0.5000 0.5000  12 Br 3.90


Density functional theory data (PBEsol) for a geometry-optimized TlW2Br structure.

Lattice parameters (Å, degrees): 4.3428 4.9314 4.3428 63.88 90.00 116.12
With the nearest neighbours (Å) after each atom.
Fractional coordinates of all 4 atoms:
Tl 0.7500 0.5000 0.7500  4 Br 2.90, 8 W 2.90-3.07
Br 0.5000 0.0000 0.5000  8 W 2.90-3.07, 4 Tl 2.90
W 0.0000 0.0000 0.0000  4 Tl 2.90, 4 W 2.90, 4 Br 3.07
W 0.2500 0.5000 0.2500  4 W 2.90, 4 Br 2.90, 4 Tl 3.07


Density functional theory data (PBEsol) for a geometry-optimized YTlBr2 structure.

Computed properties:
Offset from the most stable computed form, meV per atom: 44

Lattice parameters (Å, degrees): 3.9434 5.3188 5.6107 90.00 110.57 90.00
With the nearest neighbours (Å) after each atom.
Fractional coordinates of all 4 atoms:
Y 0.3066 0.5000 0.6132  5 Br 2.90-3.04
Tl 0.9054 0.0000 0.8108  3 Br 2.96-3.05
Br 0.1954 0.0000 0.3907  2 Y 2.90, 3 Tl 2.96-3.05
Br 0.5957 0.5000 0.1915  3 Y 2.97-3.04


Density functional theory data (PBEsol) for a geometry-optimized Y2TlBr structure.

Computed properties:
Offset from the most stable computed form, meV per atom: 46

Lattice parameters (Å, degrees): 3.5270 3.5270 9.4475 90.00 90.00 114.85
With the nearest neighbours (Å) after each atom.
Fractional coordinates of all 4 atoms:
Y 0.0000 0.0000 0.2563  2 Br 2.98, 2 Tl 3.08
Y 0.0000 0.0000 0.7437  2 Br 2.98, 2 Tl 3.08
Tl 0.5000 0.5000 0.0000  4 Y 3.08
Br 0.5000 0.5000 0.5000  4 Y 2.98


Density functional theory data (PBEsol) for a geometry-optimized Y2TlBr structure.

Computed properties:
Offset from the most stable computed form, meV per atom: 0

Lattice parameters (Å, degrees): 3.5677 4.5033 7.3332 107.88 104.08 90.00
With the nearest neighbours (Å) after each atom.
Fractional coordinates of all 4 atoms:
Y 0.0474 0.5474 0.0947  2 Tl 3.09, 4 Br 3.10
Y 0.7868 0.7868 0.5737  2 Br 2.95, 4 Tl 3.08
Tl 0.2047 0.2047 0.4094  6 Y 3.08-3.09
Br 0.4611 0.9611 0.9222  6 Y 2.95-3.10


Density functional theory data (PBEsol) for a geometry-optimized YTlBr2 structure.

Computed properties:
Offset from the most stable computed form, meV per atom: 0

Lattice parameters (Å, degrees): 3.6921 5.8526 6.5070 117.12 90.00 108.39
With the nearest neighbours (Å) after each atom.
Fractional coordinates of all 4 atoms:
Y 0.2744 0.5488 0.9421  4 Br 2.79-2.81
Tl 0.5507 0.1014 0.4726  3 Br 3.17-3.55, 3 Y 3.34-3.41
Br 0.9354 0.8708 0.8548  2 Y 2.81
Br 0.7395 0.4790 0.2305  2 Y 2.79


Density functional theory data (PBEsol) for a geometry-optimized YTlBr2 structure.

Computed properties:
Offset from the most stable computed form, meV per atom: 214

Lattice parameters (Å, degrees): 3.7467 3.7467 9.6484 78.80 78.80 60.00
With the nearest neighbours (Å) after each atom.
Fractional coordinates of all 4 atoms:
Y 0.2527 0.2527 0.2419  3 Br 2.84
Tl 0.5003 0.5003 0.4991  3 Br 2.95, 3 Y 3.24
Br 0.9845 0.9845 0.0466  3 Y 2.84
Br 0.7626 0.7626 0.7123  3 Tl 2.95


Density functional theory data (PBEsol) for a geometry-optimized YTl2Br structure.

Computed properties:
Offset from the most stable computed form, meV per atom: 0

Lattice parameters (Å, degrees): 3.4821 5.6221 6.4944 115.65 105.55 90.00
With the nearest neighbours (Å) after each atom.
Fractional coordinates of all 4 atoms:
Y 0.4798 0.4798 0.9597  2 Br 2.81
Tl 0.0036 0.0036 0.0072  4 Y 3.32, 4 Tl 3.48, 2 Br 3.57
Tl 0.2345 0.7345 0.4690  2 Y 3.34, 4 Br 3.35, 4 Tl 3.48
Br 0.7820 0.2820 0.5640  2 Y 2.81


Density functional theory data (PBEsol) for a geometry-optimized YTlBr2 structure.

Computed properties:
Offset from the most stable computed form, meV per atom: 253

Lattice parameters (Å, degrees): 3.7297 3.7297 9.5703 90.00 90.00 115.93
With the nearest neighbours (Å) after each atom.
Fractional coordinates of all 4 atoms:
Y 0.5000 0.5000 0.2504  2 Br 2.79, 2 Tl 3.10
Tl 0.0000 0.0000 0.4994  2 Br 2.79, 2 Y 3.10
Br 0.0000 0.0000 0.0448  2 Y 2.79
Br 0.5000 0.5000 0.7054  2 Tl 2.79


Density functional theory data (PBEsol) for a geometry-optimized YTl2Br structure.

Computed properties:
Offset from the most stable computed form, meV per atom: 117

Lattice parameters (Å, degrees): 3.7206 5.3680 5.3680 90.00 90.00 90.00
With the nearest neighbours (Å) after each atom.
Fractional coordinates of all 4 atoms:
Y 0.5000 0.5000 0.5000  8 Tl 3.27
Tl 0.0000 0.0000 0.5000  4 Br 3.27, 4 Y 3.27
Tl 0.0000 0.5000 0.0000  4 Br 3.27, 4 Y 3.27
Br 0.5000 0.0000 0.0000  8 Tl 3.27


Density functional theory data (PBEsol) for a geometry-optimized Tl2ZnBr structure.

Computed properties:
Offset from the most stable computed form, meV per atom: 33

Lattice parameters (Å, degrees): 4.7461 4.7461 5.8047 114.13 114.13 90.00
With the nearest neighbours (Å) after each atom.
Fractional coordinates of all 4 atoms:
Br 0.0000 0.0000 0.0000  8 Tl 3.35, 4 Zn 3.36
Tl 0.7500 0.2500 0.5000  4 Br 3.35, 4 Zn 3.35, 4 Tl 3.36
Tl 0.2500 0.7500 0.5000  4 Br 3.35, 4 Zn 3.35, 4 Tl 3.36
Zn 0.5000 0.5000 0.0000  8 Tl 3.35, 4 Br 3.36


Density functional theory data (PBEsol) for a geometry-optimized Tl2ZnBr structure.

Computed properties:
Offset from the most stable computed form, meV per atom: 8

Lattice parameters (Å, degrees): 3.4925 3.4925 9.4569 90.00 90.00 115.58
With the nearest neighbours (Å) after each atom.
Fractional coordinates of all 4 atoms:
Br 0.5000 0.5000 0.2992  2 Zn 2.56
Tl 0.0000 0.0000 0.0043  8 Tl 3.33-3.72, 2 Br 3.35
Tl 0.5000 0.5000 0.7121  2 Zn 2.85
Zn 0.0000 0.0000 0.4844  2 Br 2.56, 2 Tl 2.85


Density functional theory data (PBEsol) for a geometry-optimized TlZnBr2 structure.

Lattice parameters (Å, degrees): 3.7357 5.2530 5.2530 89.93 87.98 87.98
With the nearest neighbours (Å) after each atom.
Fractional coordinates of all 4 atoms:
Br 0.0000 0.0000 0.5000  4 Tl 3.17-3.28, 4 Zn 3.17-3.28
Br 0.0000 0.5000 0.0000  4 Zn 3.17-3.28, 4 Tl 3.17-3.28
Tl 0.5000 0.0000 0.0000  8 Br 3.17-3.28
Zn 0.5000 0.5000 0.5000  8 Br 3.17-3.28


Density functional theory data (PBEsol) for a geometry-optimized Tl2ZnBr structure.

Computed properties:
Offset from the most stable computed form, meV per atom: 0

Lattice parameters (Å, degrees): 3.8256 3.8256 8.8687 77.54 77.54 60.00
With the nearest neighbours (Å) after each atom.
Fractional coordinates of all 4 atoms:
Br 0.0000 0.0000 0.0000  6 Tl 3.16
Tl 0.2454 0.2454 0.2639  3 Zn 3.00, 3 Br 3.16
Tl 0.7546 0.7546 0.7361  3 Zn 3.00, 3 Br 3.16
Zn 0.5000 0.5000 0.5000  6 Tl 3.00


| no. | formation energy from raw total energies (meV/atom) |
| --- | --- |
| 1 | -750 |
| 2 | -770 |
| 3 | -96 |
| 4 | -766 |
| 5 | -746 |
| 6 | -348 |
| 7 | 1210 |
| 8 | 1296 |
| 9 | -986 |
| 10 | -607 |
| 11 | -653 |
| 12 | -1030 |
| 13 | -816 |
| 14 | -536 |
| 15 | -776 |
| 16 | -419 |
| 17 | -93 |
| 18 | -118 |
| 19 | -288 |
| 20 | -126 |